Material: LaMnAs2O8
Method: DFT, GGA+U
State: relaxed

Results
Raw total energy (eV/cell): -81.842

Lattice parameters (Å, degrees): 6.084 6.084 6.084 106.39 106.39 115.82
Element x y z (fractional)
La: 0.000 0.000 0.000
Mn: 0.750 0.250 0.500
As: 0.250 0.750 0.500
As: 0.500 0.500 0.000
O: 0.073 0.397 0.325
O: 0.073 0.748 0.675
O: 0.147 0.332 0.815
O: 0.252 0.927 0.325
O: 0.517 0.332 0.185
O: 0.603 0.927 0.675
O: 0.668 0.483 0.815
O: 0.668 0.853 0.185